(1)
The following is a DFT calculation (PBE) of a relaxed YZr2Ag crystal.

For the formation energy, the calculation gives -0.03 eV/atom. As for the space group: Immm, No. 71.

a = 6.3644 Å, b = 6.3644 Å, c = 5.1018 Å
α = 66.36°, β = 66.36°, γ = 30.56°
With the nearest neighbours (Å) after each atom.
Sites, in units of the cell vectors:
Ag 0.7500 0.7500 0.7500  4 Zr 3.01, 4 Y 3.05, 2 Ag 3.35
Y 0.2500 0.2500 0.2500  4 Ag 3.05, 2 Y 3.35
Zr 0.0264 0.0264 0.9736  2 Ag 3.01, 6 Zr 3.11-3.35
Zr 0.4736 0.4736 0.5264  2 Ag 3.01, 6 Zr 3.11-3.35

=====

(2)
The following is a DFT calculation (PBE) of a relaxed YZr2Ag crystal.

For the formation energy, the calculation gives 0.02 eV/atom. As for the space group: Cm, No. 8.

a = 5.7750 Å, b = 5.7750 Å, c = 5.7601 Å
α = 66.70°, β = 66.70°, γ = 32.87°
With the nearest neighbours (Å) after each atom.
Sites, in units of the cell vectors:
Ag 0.4867 0.4867 0.4152  3 Y 2.98-3.12, 4 Zr 2.99-3.06, 2 Ag 3.27
Y 0.2264 0.2264 0.3307  3 Ag 2.98-3.12, 2 Y 3.27, 2 Zr 3.28
Zr 0.0134 0.0134 0.9472  2 Ag 3.06, 5 Zr 3.08-3.27, 1 Y 3.36
Zr 0.7735 0.7735 0.8069  2 Ag 2.99, 5 Zr 3.08-3.27, 2 Y 3.28

=====

Number 1: total magnetization 0.000 μB per formula unit, raw total energy -6.6326 eV per atom, energy above the most stable polymorph in this dataset 0.041 eV per atom. Number 2: total magnetization 0.000 μB per formula unit, raw total energy -6.5830 eV per atom, energy above the most stable polymorph in this dataset 0.090 eV per atom.